# 1
Density functional theory data (PBE-GGA) for a geometry-optimized Zr2CuPt structure.

For the formation energy, the calculation gives -144 meV per atom.

It has space group I-42d (No. 122), with a = 7.447 Å, b = 7.447 Å, c = 5.590 Å, α = 90.00°, β = 90.00° and γ = 90.00°. Symmetry generates all atoms from Zr at (0.244, 0.750, 0.125), Cu at (0.000, 0.000, 0.500) and Pt at (0.000, 0.000, 0.000).

***

# 2
Density functional theory data (PBE-GGA) for a geometry-optimized LaCeGaSi structure.

The energy above the most stable polymorph in this dataset comes out at 163 meV/atom. The raw formation energy is -455 meV/atom.

It has space group F-43m (No. 216), with a = 7.354 Å, b = 7.354 Å, c = 7.354 Å, α = 90.00°, β = 90.00° and γ = 90.00°. Symmetry generates all atoms from La at (0.000, 0.000, 0.000), Ce at (0.000, 0.000, 0.500), Ga at (0.250, 0.250, 0.750) and Si at (0.250, 0.250, 0.250).

***

# 3
Density functional theory data (PBE-GGA) for a geometry-optimized TmTaMoC3 structure.

For the formation energy, the calculation gives -63 meV per atom.

It has space group P2_1/m (No. 11), with a = 6.759 Å, b = 3.257 Å, c = 7.945 Å, α = 90.00°, β = 93.48° and γ = 90.00°. Symmetry generates all atoms from Tm at (0.147, 0.250, 0.177), Ta at (0.363, 0.750, 0.879), Mo at (0.136, 0.250, 0.588), C at (0.143, 0.250, 0.853), C at (0.172, 0.750, 0.443) and C at (0.413, 0.750, 0.134).

***

Number 1: total magnetic moment 0.000 μB per atom. Number 2: total magnetic moment 0.301 μB per atom. Number 3: total magnetic moment 0.000 μB per atom.